# 1
The following is a DFT calculation (PBE) of a geometry-optimized Ba2BiTe2 structure.

a b c (Å): 9.132 9.132 4.700
angles (deg): 90.00 90.00 90.00
Positions (direct):
Ba 0.157 0.657 0.500
Ba 0.843 0.343 0.500
Ba 0.657 0.843 0.500
Ba 0.343 0.157 0.500
Te 0.654 0.154 0.000
Te 0.846 0.654 0.000
Te 0.346 0.846 0.000
Te 0.154 0.346 0.000
Bi 0.500 0.500 0.000
Bi 0.000 0.000 0.000

DOS(E_F) = 5.35 states/eV/cell
total DFT energy (no corrections) = -39.48 eV/cell
crystal system = tetragonal
magnetization = 0.00 μB/f.u.

---

# 2
The following is a DFT calculation (PBE) of a geometry-optimized Ti4Ga4Pd structure.

a b c (Å): 3.595 6.552 6.552
angles (deg): 85.68 74.07 74.07
Positions (direct):
Ga 0.666 0.000 0.667
Ga 0.666 0.667 0.000
Ga 0.334 0.333 0.000
Ga 0.334 0.000 0.333
Ti 0.332 0.668 0.668
Ti 0.000 0.668 0.332
Ti 0.668 0.332 0.332
Ti 0.000 0.332 0.668
Pd 0.000 0.000 0.000

DOS(E_F) = 5.60 states/eV/cell
crystal system = tetragonal
DFT formation energy = -0.465 eV per atom
magnetization = 0.00 μB/f.u.

---

# 3
The following is a DFT calculation (PBE) of a geometry-optimized Tb3ErMg12 structure.

a b c (Å): 4.629 4.629 18.996
angles (deg): 90.00 90.00 90.00
Positions (direct):
Mg 0.500 0.500 0.000
Mg 0.500 0.000 0.625
Mg 0.500 0.000 0.375
Mg 0.500 0.500 0.500
Mg 0.500 0.000 0.876
Mg 0.000 0.500 0.625
Mg 0.500 0.000 0.124
Mg 0.000 0.500 0.375
Mg 0.000 0.500 0.124
Mg 0.500 0.500 0.751
Mg 0.500 0.500 0.249
Mg 0.000 0.500 0.876
Tb 0.000 0.000 0.249
Tb 0.000 0.000 0.751
Tb 0.000 0.000 0.500
Er 0.000 0.000 0.000

DOS(E_F) = 13.40 states/eV/cell
crystal system = tetragonal
DFT formation energy = -0.060 eV per atom
magnetization = 0.00 μB/f.u.

---

# 4
The following is a DFT calculation (PBE) of a geometry-optimized GdHoAu2 structure.

a b c (Å): 3.586 3.586 7.298
angles (deg): 90.00 90.00 90.00
Each line ends with the local moment (μB).
Positions (direct):
Au 0.000 0.000 0.238  -0.01
Au 0.000 0.000 0.762  -0.01
Gd 0.500 0.500 0.500  7.03
Ho 0.500 0.500 0.000  0.01

DOS(E_F) = 3.01 states/eV/cell
crystal system = tetragonal
DFT formation energy = -0.852 eV per atom
magnetization = 7.14 μB/f.u.

---

# 5
The following is a DFT calculation (PBE) of a geometry-optimized Pr3Cu2Si4 structure.

a b c (Å): 4.110 5.917 8.281
angles (deg): 98.28 90.00 110.32
Positions (direct):
Pr 0.000 0.000 0.000
Pr 0.338 0.675 0.333
Pr 0.662 0.325 0.667
Cu 0.611 0.222 0.281
Cu 0.389 0.778 0.719
Si 0.059 0.118 0.388
Si 0.941 0.882 0.612
Si 0.718 0.436 0.060
Si 0.282 0.564 0.940

DOS(E_F) = 3.71 states/eV/cell
total DFT energy (no corrections) = -50.59 eV/cell
crystal system = monoclinic
magnetization = 0.00 μB/f.u.

---

# 6
The following is a DFT calculation (PBE) of a geometry-optimized Nd4InAuO structure.

a b c (Å): 6.913 6.938 8.631
angles (deg): 90.00 113.61 90.00
Positions (direct):
Nd 0.581 0.250 0.161
Nd 0.061 0.750 0.123
Nd 0.500 0.500 0.500
Nd 0.000 0.000 0.500
Nd 0.000 0.500 0.500
Nd 0.939 0.250 0.877
Nd 0.500 0.000 0.500
Nd 0.419 0.750 0.839
Au 0.122 0.250 0.244
Au 0.878 0.750 0.756
O 0.743 0.250 0.486
O 0.257 0.750 0.514
In 0.385 0.250 0.769
In 0.615 0.750 0.231

DOS(E_F) = 7.77 states/eV/cell
total DFT energy (no corrections) = -75.66 eV/cell
crystal system = orthorhombic
magnetization = 0.00 μB/f.u.

---

- Among the records above, which one has the highest magnetization?
  GdHoAu2

---

Please write out number 1 again, unchanged.
The following is a DFT calculation (PBE) of a geometry-optimized Ba2BiTe2 structure.

a b c (Å): 9.132 9.132 4.700
angles (deg): 90.00 90.00 90.00
Positions (direct):
Ba 0.157 0.657 0.500
Ba 0.843 0.343 0.500
Ba 0.657 0.843 0.500
Ba 0.343 0.157 0.500
Te 0.654 0.154 0.000
Te 0.846 0.654 0.000
Te 0.346 0.846 0.000
Te 0.154 0.346 0.000
Bi 0.500 0.500 0.000
Bi 0.000 0.000 0.000

DOS(E_F) = 5.35 states/eV/cell
total DFT energy (no corrections) = -39.48 eV/cell
crystal system = tetragonal
magnetization = 0.00 μB/f.u.